The following is a PBE calculation of a geometry-optimized PrLuGa structure, from Alexandria.

CIF file:
```
data_PrLuGa
_chemical_formula_sum 'Pr1 Lu1 Ga1'
_cell_length_a 4.9874
_cell_length_b 4.9874
_cell_length_c 3.8450
_cell_angle_alpha 90.00
_cell_angle_beta 90.00
_cell_angle_gamma 120.00
_space_group_name_H-M_alt 'P 3 m 1'
_space_group_IT_number 156
loop_
_space_group_symop_operation_xyz
'x,y,z'
'-y,x-y,z'
'-x+y,-x,z'
'-y,-x,z'
'-x+y,y,z'
'x,x-y,z'
loop_
_atom_site_label
_atom_site_type_symbol
_atom_site_fract_x
_atom_site_fract_y
_atom_site_fract_z
Pr1 Pr 0.0000 0.0000 0.0000
Lu1 Lu 0.3333 0.6667 0.5182
Ga1 Ga 0.6667 0.3333 0.4333
```

Output
The formation energy is -267 meV/atom. Its distance to the lowest polymorph of the same formula is 76.1 meV/atom. As for the density of states at the Fermi level: 2.90 states/eV/f.u. The value obtained for the total energy is -4.38 eV/atom. The value obtained for the total moment is 0.000 μB/f.u.